14
Lattice="7.660 0.000 0.000 0.000 7.660 0.000 0.000 0.000 3.983" Properties=species:S:1:pos:R:3 comment="PmGa4Ni2 | Alexandria | PBE | optimized geometry" relative_energy_kj_per_mol_fu=67 total_magnetization_mub_per_fu=0.0 volume_a3_per_fu=117 density_g_cm3=7.69 dft_energy_ev_per_cell=-62.8 e_form_ev_per_atom=-0.4282 pbc="T T T"
Pm 0.000 0.000 0.000
Pm 3.830 3.830 1.992
Ga 0.614 2.488 1.992
Ga 1.342 4.444 0.000
Ga 2.488 0.614 1.992
Ga 3.216 6.318 0.000
Ga 4.444 1.342 0.000
Ga 5.171 7.046 1.992
Ga 6.318 3.216 0.000
Ga 7.046 5.171 1.992
Ni 1.686 5.973 1.992
Ni 2.143 2.143 0.000
Ni 5.516 5.516 0.000
Ni 5.973 1.686 1.992